No. 1
A plane-wave DFT calculation with PBE-GGA was carried out for an optimized crystal structure of Be2CuTc2.

Calculated values
Theoretical density, Mg/m³: 7.0
Distance to the lowest polymorph of the same formula, meV/atom: 581.5
Energy relative to the elements, eV per atom: 0.481
Crystal system: tetragonal

Cell lengths 4.169, 4.169, 7.541 Å; angles 90.00, 90.00, 90.00 degrees
Space group I4/mmm (No. 139)
One atom of each set of equivalent atoms:
1 Be 0.000 0.500 0.250 (multiplicity 4)
2 Cu 0.000 0.000 0.000 (multiplicity 2)
3 Tc 0.000 0.000 0.347 (multiplicity 4)

***

No. 2
A plane-wave DFT calculation with PBE-GGA was carried out for an optimized crystal structure of TiBe2CuTc.

Calculated values
Theoretical density, Mg/m³: 5.0
Energy relative to the elements, eV per atom: 1.630
Crystal system: tetragonal

Cell lengths 4.210, 4.210, 4.298 Å; angles 90.00, 90.00, 90.00 degrees
Space group P4/mmm (No. 123)
One atom of each set of equivalent atoms:
1 Ti 0.000 0.000 0.000 (multiplicity 1)
2 Be 0.000 0.500 0.000 (multiplicity 2)
3 Cu 0.000 0.000 0.500 (multiplicity 1)
4 Tc 0.500 0.500 0.500 (multiplicity 1)